First-principles (PBE-GGA) data for CeNd2N after structural relaxation, as listed in Alexandria.

The structure in CIF format:
```
data_CeNd2N
_chemical_formula_sum 'Ce1 Nd2 N1'
_cell_length_a 3.2250
_cell_length_b 3.2250
_cell_length_c 8.8610
_cell_angle_alpha 90.00
_cell_angle_beta 90.00
_cell_angle_gamma 90.00
_space_group_name_H-M_alt 'P 1'
_space_group_IT_number 1
loop_
_space_group_symop_operation_xyz
'x,y,z'
loop_
_atom_site_label
_atom_site_type_symbol
_atom_site_fract_x
_atom_site_fract_y
_atom_site_fract_z
Nd1 Nd 0.0000 0.0000 0.1669
Nd2 Nd 0.0000 0.0000 0.8331
Ce1 Ce 0.5000 0.5000 0.5000
N1 N 0.5000 0.5000 0.0000
```

Computed properties:
The space group is P4/mmm (123). The calculation puts the calculated density at 7.97 g/cm³. The value obtained for the spin magnetization is 0.8 μB/cell. As for the volume: 23.0 A^3/atom. The raw total energy comes out at -6.0488 eV per atom. The excess energy over the best structure of this formula in the dataset is 406 meV per atom. The value obtained for the uncorrected formation energy is -0.10 eV/atom.

=====

First-principles (PBE-GGA) data for Ce2Nd3N4 after structural relaxation, as listed in Alexandria.

The structure in CIF format:
```
data_Ce2Nd3N4
_chemical_formula_sum 'Ce2 Nd3 N4'
_cell_length_a 3.6185
_cell_length_b 6.3413
_cell_length_c 8.0808
_cell_angle_alpha 76.37
_cell_angle_beta 77.06
_cell_angle_gamma 73.42
_space_group_name_H-M_alt 'P 1'
_space_group_IT_number 1
loop_
_space_group_symop_operation_xyz
'x,y,z'
loop_
_atom_site_label
_atom_site_type_symbol
_atom_site_fract_x
_atom_site_fract_y
_atom_site_fract_z
N1 N 0.1982 0.9170 0.6867
N2 N 0.4001 0.3034 0.8963
N3 N 0.5999 0.6966 0.1037
N4 N 0.8018 0.0830 0.3133
Nd1 Nd 0.0000 0.0000 0.0000
Nd2 Nd 0.2021 0.4040 0.1919
Nd3 Nd 0.7979 0.5960 0.8081
Ce1 Ce 0.6058 0.1724 0.6160
Ce2 Ce 0.3942 0.8276 0.3840
```

Computed properties:
The space group is C2/m (12). The calculation puts the calculated density at 7.50 g/cm³. The value obtained for the spin magnetization is 1.5 μB/cell. As for the volume: 18.9 A^3/atom. The raw total energy comes out at -7.8395 eV per atom. The value obtained for the uncorrected formation energy is -1.23 eV/atom.

=====

First-principles (PBE-GGA) data for Ce2Nd2N5 after structural relaxation, as listed in Alexandria.

The structure in CIF format:
```
data_Ce2Nd2N5
_chemical_formula_sum 'Ce4 Nd4 N10'
_cell_length_a 6.6887
_cell_length_b 6.6478
_cell_length_c 6.9342
_cell_angle_alpha 118.64
_cell_angle_beta 90.00
_cell_angle_gamma 90.00
_space_group_name_H-M_alt 'P 1'
_space_group_IT_number 1
loop_
_space_group_symop_operation_xyz
'x,y,z'
loop_
_atom_site_label
_atom_site_type_symbol
_atom_site_fract_x
_atom_site_fract_y
_atom_site_fract_z
Ce1 Ce 0.8393 0.3383 0.0000
Ce2 Ce 0.6607 0.8383 0.0000
Ce3 Ce 0.1607 0.6617 0.0000
Ce4 Ce 0.3393 0.1617 0.0000
N1 N 0.1559 0.2052 0.7400
N2 N 0.8441 0.7948 0.2600
N3 N 0.1559 0.4653 0.2600
N4 N 0.8441 0.5347 0.7400
N5 N 0.5000 0.5000 0.0000
N6 N 0.6559 0.0347 0.7400
N7 N 0.3441 0.9653 0.2600
N8 N 0.3441 0.7052 0.7400
N9 N 0.0000 0.0000 0.0000
N10 N 0.6559 0.2948 0.2600
Nd1 Nd 0.0000 0.7965 0.5929
Nd2 Nd 0.0000 0.2035 0.4071
Nd3 Nd 0.5000 0.2965 0.5929
Nd4 Nd 0.5000 0.7035 0.4071
```

Computed properties:
The space group is Cmce (64). The calculation puts the calculated density at 7.84 g/cm³. The value obtained for the spin magnetization is 0.0 μB/cell. As for the volume: 15.0 A^3/atom. The raw total energy comes out at -8.1537 eV per atom. The value obtained for the uncorrected formation energy is -1.15 eV/atom.

=====

First-principles (PBE-GGA) data for Ce3Nd2N4 after structural relaxation, as listed in Alexandria.

The structure in CIF format:
```
data_Ce3Nd2N4
_chemical_formula_sum 'Ce3 Nd2 N4'
_cell_length_a 3.5789
_cell_length_b 6.2820
_cell_length_c 8.0950
_cell_angle_alpha 75.54
_cell_angle_beta 77.23
_cell_angle_gamma 73.45
_space_group_name_H-M_alt 'P 1'
_space_group_IT_number 1
loop_
_space_group_symop_operation_xyz
'x,y,z'
loop_
_atom_site_label
_atom_site_type_symbol
_atom_site_fract_x
_atom_site_fract_y
_atom_site_fract_z
Ce1 Ce 0.2061 0.3974 0.1903
Ce2 Ce 0.0000 0.0000 0.0000
Ce3 Ce 0.7939 0.6026 0.8097
Nd1 Nd 0.3939 0.8234 0.3887
Nd2 Nd 0.6061 0.1766 0.6113
N1 N 0.6062 0.6983 0.0892
N2 N 0.7978 0.1113 0.2931
N3 N 0.3938 0.3017 0.9108
N4 N 0.2022 0.8887 0.7069
```

Computed properties:
The space group is C2/m (12). The calculation puts the calculated density at 7.62 g/cm³. The value obtained for the spin magnetization is 1.2 μB/cell. As for the volume: 18.5 A^3/atom. The raw total energy comes out at -8.0003 eV per atom. The excess energy over the best structure of this formula in the dataset is 0 meV per atom. The value obtained for the uncorrected formation energy is -1.26 eV/atom.

=====

First-principles (PBE-GGA) data for CeNd2N2 after structural relaxation, as listed in Alexandria.

The structure in CIF format:
```
data_CeNd2N2
_chemical_formula_sum 'Ce1 Nd2 N2'
_cell_length_a 3.5625
_cell_length_b 5.2053
_cell_length_c 6.3328
_cell_angle_alpha 114.27
_cell_angle_beta 106.34
_cell_angle_gamma 90.00
_space_group_name_H-M_alt 'P 1'
_space_group_IT_number 1
loop_
_space_group_symop_operation_xyz
'x,y,z'
loop_
_atom_site_label
_atom_site_type_symbol
_atom_site_fract_x
_atom_site_fract_y
_atom_site_fract_z
N1 N 0.6575 0.1575 0.3150
N2 N 0.3425 0.8425 0.6850
Nd1 Nd 0.6796 0.6796 0.3593
Nd2 Nd 0.3204 0.3204 0.6407
Ce1 Ce 0.0000 0.0000 0.0000
```

Computed properties:
The space group is Immm (71). The calculation puts the calculated density at 7.45 g/cm³. The value obtained for the spin magnetization is 0.3 μB/cell. As for the volume: 20.4 A^3/atom. The raw total energy comes out at -7.4849 eV per atom. The value obtained for the uncorrected formation energy is -1.06 eV/atom.

=====

First-principles (PBE-GGA) data for CeNdN2 after structural relaxation, as listed in Alexandria.

The structure in CIF format:
```
data_CeNdN2
_chemical_formula_sum 'Ce1 Nd1 N2'
_cell_length_a 3.5199
_cell_length_b 3.5199
_cell_length_c 6.5134
_cell_angle_alpha 74.32
_cell_angle_beta 74.32
_cell_angle_gamma 60.00
_space_group_name_H-M_alt 'P 1'
_space_group_IT_number 1
loop_
_space_group_symop_operation_xyz
'x,y,z'
loop_
_atom_site_label
_atom_site_type_symbol
_atom_site_fract_x
_atom_site_fract_y
_atom_site_fract_z
Ce1 Ce 0.5001 0.5001 0.4996
N1 N 0.0827 0.0827 0.7518
N2 N 0.2451 0.2451 0.2648
Nd1 Nd 0.6721 0.6721 0.9838
```

Computed properties:
The space group is R3m (160). The calculation puts the calculated density at 7.81 g/cm³. The value obtained for the spin magnetization is 0.6 μB/cell. As for the volume: 16.6 A^3/atom. The raw total energy comes out at -8.0656 eV per atom. The value obtained for the uncorrected formation energy is -1.23 eV/atom.

=====

First-principles (PBE-GGA) data for Ce2NdN4 after structural relaxation, as listed in Alexandria.

The structure in CIF format:
```
data_Ce2NdN4
_chemical_formula_sum 'Ce4 Nd2 N8'
_cell_length_a 3.5564
_cell_length_b 6.1832
_cell_length_c 10.5603
_cell_angle_alpha 90.00
_cell_angle_beta 90.00
_cell_angle_gamma 106.71
_space_group_name_H-M_alt 'P 1'
_space_group_IT_number 1
loop_
_space_group_symop_operation_xyz
'x,y,z'
loop_
_atom_site_label
_atom_site_type_symbol
_atom_site_fract_x
_atom_site_fract_y
_atom_site_fract_z
N1 N 0.2238 0.4475 0.8836
N2 N 0.5000 0.0000 0.5000
N3 N 0.0405 0.0809 0.2500
N4 N 0.5000 0.0000 0.0000
N5 N 0.2238 0.4475 0.6164
N6 N 0.7762 0.5525 0.1164
N7 N 0.7762 0.5525 0.3836
N8 N 0.9595 0.9191 0.7500
Nd1 Nd 0.6006 0.2013 0.7500
Nd2 Nd 0.3994 0.7987 0.2500
Ce1 Ce 0.1328 0.2655 0.0687
Ce2 Ce 0.1328 0.2655 0.4313
Ce3 Ce 0.8672 0.7345 0.9313
Ce4 Ce 0.8672 0.7345 0.5687
```

Computed properties:
The space group is Cmcm (63). The calculation puts the calculated density at 7.17 g/cm³. The value obtained for the spin magnetization is 1.6 μB/cell. As for the volume: 15.9 A^3/atom. The raw total energy comes out at -8.2771 eV per atom. The value obtained for the uncorrected formation energy is -1.14 eV/atom.

=====

First-principles (PBE-GGA) data for Ce2Nd5N5 after structural relaxation, as listed in Alexandria.

The structure in CIF format:
```
data_Ce2Nd5N5
_chemical_formula_sum 'Ce2 Nd5 N5'
_cell_length_a 3.5231
_cell_length_b 6.3240
_cell_length_c 12.4016
_cell_angle_alpha 107.84
_cell_angle_beta 90.00
_cell_angle_gamma 106.17
_space_group_name_H-M_alt 'P 1'
_space_group_IT_number 1
loop_
_space_group_symop_operation_xyz
'x,y,z'
loop_
_atom_site_label
_atom_site_type_symbol
_atom_site_fract_x
_atom_site_fract_y
_atom_site_fract_z
Ce1 Ce 0.0446 0.0893 0.7976
Ce2 Ce 0.9554 0.9107 0.2024
N1 N 0.3337 0.6675 0.1241
N2 N 0.1196 0.2393 0.4332
N3 N 0.8804 0.7607 0.5668
N4 N 0.0000 0.0000 0.0000
N5 N 0.6663 0.3325 0.8759
Nd1 Nd 0.5000 0.0000 0.5000
Nd2 Nd 0.2772 0.5544 0.6248
Nd3 Nd 0.6530 0.3060 0.0636
Nd4 Nd 0.7228 0.4456 0.3752
Nd5 Nd 0.3470 0.6940 0.9364
```

Computed properties:
The space group is C2/m (12). The calculation puts the calculated density at 7.07 g/cm³. The value obtained for the spin magnetization is 3.2 μB/cell. As for the volume: 21.0 A^3/atom. The raw total energy comes out at -7.4050 eV per atom. The value obtained for the uncorrected formation energy is -0.96 eV/atom.

=====

First-principles (PBE-GGA) data for Ce3NdN after structural relaxation, as listed in Alexandria.

The structure in CIF format:
```
data_Ce3NdN
_chemical_formula_sum 'Ce3 Nd1 N1'
_cell_length_a 4.9600
_cell_length_b 4.9600
_cell_length_c 4.9600
_cell_angle_alpha 90.00
_cell_angle_beta 90.00
_cell_angle_gamma 90.00
_space_group_name_H-M_alt 'P 1'
_space_group_IT_number 1
loop_
_space_group_symop_operation_xyz
'x,y,z'
loop_
_atom_site_label
_atom_site_type_symbol
_atom_site_fract_x
_atom_site_fract_y
_atom_site_fract_z
Nd1 Nd 0.5000 0.5000 0.5000
Ce1 Ce 0.0000 0.5000 0.0000
Ce2 Ce 0.5000 0.0000 0.0000
Ce3 Ce 0.0000 0.0000 0.5000
N1 N 0.0000 0.0000 0.0000
```

Computed properties:
The space group is Pm-3m (221). The calculation puts the calculated density at 7.87 g/cm³. The value obtained for the spin magnetization is 0.0 μB/cell. As for the volume: 24.4 A^3/atom. The raw total energy comes out at -6.6939 eV per atom. The value obtained for the uncorrected formation energy is -0.51 eV/atom.

=====

First-principles (PBE-GGA) data for CeNdN2 after structural relaxation, as listed in Alexandria.

The structure in CIF format:
```
data_CeNdN2
_chemical_formula_sum 'Ce1 Nd1 N2'
_cell_length_a 3.6033
_cell_length_b 3.6033
_cell_length_c 6.2436
_cell_angle_alpha 73.24
_cell_angle_beta 73.24
_cell_angle_gamma 60.01
_space_group_name_H-M_alt 'P 1'
_space_group_IT_number 1
loop_
_space_group_symop_operation_xyz
'x,y,z'
loop_
_atom_site_label
_atom_site_type_symbol
_atom_site_fract_x
_atom_site_fract_y
_atom_site_fract_z
N1 N 0.2445 0.2445 0.2666
N2 N 0.7555 0.7555 0.7334
Nd1 Nd 0.0000 0.0000 0.0000
Ce1 Ce 0.5000 0.5000 0.5000
```

Computed properties:
The space group is R-3m (166). The calculation puts the calculated density at 7.83 g/cm³. The value obtained for the spin magnetization is 0.0 μB/cell. As for the volume: 16.6 A^3/atom. The raw total energy comes out at -8.2947 eV per atom. The value obtained for the uncorrected formation energy is -1.46 eV/atom.

=====

First-principles (PBE-GGA) data for CeNdN2 after structural relaxation, as listed in Alexandria.

The structure in CIF format:
```
data_CeNdN2
_chemical_formula_sum 'Ce2 Nd2 N4'
_cell_length_a 3.5838
_cell_length_b 3.5838
_cell_length_c 11.8570
_cell_angle_alpha 90.00
_cell_angle_beta 90.00
_cell_angle_gamma 120.00
_space_group_name_H-M_alt 'P 1'
_space_group_IT_number 1
loop_
_space_group_symop_operation_xyz
'x,y,z'
loop_
_atom_site_label
_atom_site_type_symbol
_atom_site_fract_x
_atom_site_fract_y
_atom_site_fract_z
Nd1 Nd 0.6667 0.3333 0.2500
Nd2 Nd 0.3333 0.6667 0.7500
N1 N 0.6667 0.3333 0.6148
N2 N 0.6667 0.3333 0.8852
N3 N 0.3333 0.6667 0.1148
N4 N 0.3333 0.6667 0.3852
Ce1 Ce 0.0000 0.0000 0.5000
Ce2 Ce 0.0000 0.0000 0.0000
```

Computed properties:
The space group is P6_3/mmc (194). The calculation puts the calculated density at 7.87 g/cm³. The value obtained for the spin magnetization is 0.0 μB/cell. As for the volume: 16.5 A^3/atom. The raw total energy comes out at -8.2631 eV per atom. The value obtained for the uncorrected formation energy is -1.43 eV/atom.

=====

First-principles (PBE-GGA) data for CeNdN2 after structural relaxation, as listed in Alexandria.

The structure in CIF format:
```
data_CeNdN2
_chemical_formula_sum 'Ce1 Nd1 N2'
_cell_length_a 3.5510
_cell_length_b 3.5517
_cell_length_c 6.1627
_cell_angle_alpha 89.99
_cell_angle_beta 90.02
_cell_angle_gamma 119.99
_space_group_name_H-M_alt 'P 1'
_space_group_IT_number 1
loop_
_space_group_symop_operation_xyz
'x,y,z'
loop_
_atom_site_label
_atom_site_type_symbol
_atom_site_fract_x
_atom_site_fract_y
_atom_site_fract_z
N1 N 0.6667 0.8334 0.7347
N2 N 0.3333 0.1666 0.2653
Ce1 Ce 0.0000 0.5000 0.5000
Nd1 Nd 0.0000 0.5000 0.0000
```

Computed properties:
The space group is P-3m1 (164). The calculation puts the calculated density at 7.71 g/cm³. The value obtained for the spin magnetization is 0.5 μB/cell. As for the volume: 16.8 A^3/atom. The raw total energy comes out at -7.9610 eV per atom. The value obtained for the uncorrected formation energy is -1.12 eV/atom.